Record 1
{"formula": "Ti3CuSe6", "functional": "PBE", "state": "optimized geometry", "raw_formation_energy_ev_per_atom": -0.80, "dos_ef_per_ev_cell": 6.74, "lattice": [[5.288, 3.053, 4.392], [-5.288, 3.053, 4.392], [0.000, -6.106, 4.392]], "species": ["Ti", "Ti", "Ti", "Ti", "Ti", "Ti", "Cu", "Cu", "Se", "Se", "Se", "Se", "Se", "Se", "Se", "Se", "Se", "Se", "Se", "Se"], "fractional_positions": [[0.075, 0.580, 0.226], [0.226, 0.075, 0.580], [0.420, 0.774, 0.925], [0.580, 0.226, 0.075], [0.774, 0.925, 0.420], [0.925, 0.420, 0.774], [0.000, 0.000, 0.000], [0.500, 0.500, 0.500], [0.088, 0.687, 0.893], [0.107, 0.912, 0.313], [0.178, 0.404, 0.533], [0.313, 0.107, 0.912], [0.404, 0.533, 0.178], [0.467, 0.822, 0.596], [0.533, 0.178, 0.404], [0.596, 0.467, 0.822], [0.687, 0.893, 0.088], [0.822, 0.596, 0.467], [0.893, 0.088, 0.687], [0.912, 0.313, 0.107]]}

Record 2
{"formula": "Ti2Cu2Se7", "functional": "PBE", "state": "optimized geometry", "raw_formation_energy_ev_per_atom": -0.42, "dos_ef_per_ev_cell": 6.17, "lattice": [[-1.771, 7.395, 4.072], [1.771, -7.395, 4.072], [1.771, 7.395, -4.072]], "species": ["Ti", "Ti", "Cu", "Cu", "Se", "Se", "Se", "Se", "Se", "Se", "Se"], "fractional_positions": [[0.000, 0.000, 0.000], [0.537, 0.037, 0.500], [0.009, 0.760, 0.249], [0.511, 0.760, 0.751], [0.219, 0.719, 0.500], [0.269, 0.080, 0.189], [0.367, 0.487, 0.881], [0.606, 0.487, 0.119], [0.730, 0.323, 0.407], [0.891, 0.080, 0.811], [0.916, 0.323, 0.593]]}

Record 3
{"formula": "Ti2CuSe", "functional": "PBE", "state": "optimized geometry", "raw_formation_energy_ev_per_atom": -0.20, "dos_ef_per_ev_cell": 15.55, "lattice": [[6.875, 0.000, 0.000], [0.000, 6.875, 0.000], [0.000, 0.000, 5.602]], "species": ["Ti", "Ti", "Ti", "Ti", "Ti", "Ti", "Ti", "Ti", "Cu", "Cu", "Cu", "Cu", "Se", "Se", "Se", "Se"], "fractional_positions": [[0.245, 0.250, 0.125], [0.250, 0.745, 0.375], [0.250, 0.755, 0.875], [0.255, 0.250, 0.625], [0.745, 0.750, 0.625], [0.750, 0.245, 0.875], [0.750, 0.255, 0.375], [0.755, 0.750, 0.125], [0.000, 0.000, 0.500], [0.000, 0.500, 0.750], [0.500, 0.000, 0.250], [0.500, 0.500, 0.000], [0.000, 0.000, 0.000], [0.000, 0.500, 0.250], [0.500, 0.000, 0.750], [0.500, 0.500, 0.500]]}

Record 4
{"formula": "TiCu4Se5", "functional": "PBE", "state": "optimized geometry", "raw_formation_energy_ev_per_atom": -0.29, "dos_ef_per_ev_cell": 5.86, "lattice": [[-4.140, 4.140, 2.589], [4.140, -4.140, 2.589], [4.140, 4.140, -2.589]], "species": ["Ti", "Cu", "Cu", "Cu", "Cu", "Se", "Se", "Se", "Se", "Se"], "fractional_positions": [[0.000, 0.000, 0.000], [0.096, 0.495, 0.824], [0.272, 0.096, 0.601], [0.495, 0.671, 0.399], [0.671, 0.272, 0.176], [0.191, 0.816, 0.215], [0.466, 0.466, 0.000], [0.601, 0.976, 0.785], [0.816, 0.601, 0.625], [0.976, 0.191, 0.375]]}

Record 5
{"formula": "ZrTiCuSe4", "functional": "PBE", "state": "optimized geometry", "raw_formation_energy_ev_per_atom": -1.01, "dos_ef_per_ev_cell": 6.61, "lattice": [[-3.797, 3.834, 5.386], [3.797, -3.834, 5.386], [3.797, 3.834, -5.386]], "species": ["Zr", "Zr", "Ti", "Ti", "Cu", "Cu", "Se", "Se", "Se", "Se", "Se", "Se", "Se", "Se"], "fractional_positions": [[0.000, 0.000, 0.000], [0.500, 0.000, 0.500], [0.500, 0.000, 0.000], [0.500, 0.500, 0.500], [0.120, 0.370, 0.750], [0.880, 0.630, 0.250], [0.257, 0.258, 0.501], [0.257, 0.756, 0.999], [0.262, 0.748, 0.514], [0.265, 0.252, 0.014], [0.735, 0.748, 0.986], [0.738, 0.252, 0.486], [0.743, 0.244, 0.001], [0.743, 0.742, 0.499]]}

Record 6
{"formula": "Tl2CuSe", "functional": "PBE", "state": "optimized geometry", "raw_formation_energy_ev_per_atom": 0.11, "de_polymorph_ev_per_fu": 0.91, "dos_ef_per_ev_cell": 6.25, "lattice": [[6.555, 0.000, 0.000], [0.000, 6.555, 0.000], [0.000, 0.000, 12.173]], "species": ["Tl", "Tl", "Tl", "Tl", "Tl", "Tl", "Tl", "Tl", "Cu", "Cu", "Cu", "Cu", "Se", "Se", "Se", "Se"], "fractional_positions": [[0.220, 0.250, 0.125], [0.250, 0.720, 0.375], [0.250, 0.780, 0.875], [0.280, 0.250, 0.625], [0.720, 0.750, 0.625], [0.750, 0.220, 0.875], [0.750, 0.280, 0.375], [0.780, 0.750, 0.125], [0.000, 0.000, 0.000], [0.000, 0.500, 0.250], [0.500, 0.000, 0.750], [0.500, 0.500, 0.500], [0.000, 0.000, 0.500], [0.000, 0.500, 0.750], [0.500, 0.000, 0.250], [0.500, 0.500, 0.000]]}